No. 1
A geometry-optimized UBi2Pd9 structure. Source: the Alexandria database, functional PBE.

a b c (Å): 4.1567 4.1567 12.3516
angles (deg): 90.00 90.00 90.00
Closest atoms and distances in Å follow each position.
Element x y z (fractional)
U  0.0000  0.0000  0.0000  12 Pd 2.86-2.94
Bi  0.0000  0.0000  0.3369  12 Pd 2.89-3.03
Bi  0.0000  0.0000  0.6631  12 Pd 2.89-3.03
Pd  0.5000  0.5000  0.0000  8 Pd 2.86, 4 U 2.94
Pd  0.5000  0.5000  0.3305  4 Bi 2.94, 8 Pd 2.95-2.97
Pd  0.5000  0.5000  0.6695  4 Bi 2.94, 8 Pd 2.95-2.97
Pd  0.5000  0.0000  0.1589  8 Pd 2.86-2.97, 2 U 2.86, 2 Bi 3.03
Pd  0.5000  0.0000  0.5000  4 Bi 2.89, 8 Pd 2.94-2.95
Pd  0.5000  0.0000  0.8411  2 U 2.86, 8 Pd 2.86-2.97, 2 Bi 3.03
Pd  0.0000  0.5000  0.1589  8 Pd 2.86-2.97, 2 U 2.86, 2 Bi 3.03
Pd  0.0000  0.5000  0.5000  4 Bi 2.89, 8 Pd 2.94-2.95
Pd  0.0000  0.5000  0.8411  8 Pd 2.86-2.97, 2 U 2.86, 2 Bi 3.03

As for the total DFT energy (no corrections): -5.8236 eV/atom. As for the density of states at the Fermi level: 13.58 states/eV/cell. The total moment is 1.79 Bohr magnetons per cell. For the energy of formation from the pure elements, the calculation gives -4.098 eV per formula unit.

***

No. 2
A geometry-optimized KGeTe2O6 structure. Source: the Alexandria database, functional PBE.

a b c (Å): 8.0092 7.8610 7.8610
angles (deg): 102.07 71.31 71.31
Closest atoms and distances in Å follow each position.
Element x y z (fractional)
K  0.2500  0.9082  0.0918  2 O 2.80
K  0.7500  0.0918  0.9082  2 O 2.80
Ge  0.2500  0.2054  0.7946  4 O 1.85-1.87
Ge  0.7500  0.7946  0.2054  4 O 1.85-1.87
Te  0.3440  0.7238  0.5440  3 O 1.90-2.01
Te  0.1560  0.4560  0.2762  3 O 1.90-2.01
Te  0.6560  0.2762  0.4560  3 O 1.90-2.01
Te  0.8440  0.5440  0.7238  3 O 1.90-2.01
O  0.2276  0.9730  0.7612  1 Ge 1.87, 1 Te 2.01
O  0.2724  0.2388  0.0270  1 Ge 1.87, 1 Te 2.01
O  0.7724  0.0270  0.2388  1 Ge 1.87, 1 Te 2.01
O  0.7276  0.7612  0.9730  1 Ge 1.87, 1 Te 2.01
O  0.5210  0.7910  0.3543  1 Ge 1.85, 1 Te 1.99
O  0.9790  0.6457  0.2090  1 Ge 1.85, 1 Te 1.99
O  0.4790  0.2090  0.6457  1 Ge 1.85, 1 Te 1.99
O  0.0210  0.3543  0.7910  1 Ge 1.85, 1 Te 1.99
O  0.0029  0.6575  0.6040  1 Te 1.90
O  0.4971  0.3960  0.3425  1 Te 1.90
O  0.9971  0.3425  0.3960  1 Te 1.90
O  0.5029  0.6040  0.6575  1 Te 1.90

As for the total DFT energy (no corrections): -5.3479 eV/atom. As for the density of states at the Fermi level: 2.25 states/eV/cell. The total moment is 0.00 Bohr magnetons per cell. The uncorrected formation energy is -113 kJ/mol of atoms.

***

No. 3
A geometry-optimized P2O structure. Source: the Alexandria database, functional PBE.

a b c (Å): 3.3769 3.3769 5.2471
angles (deg): 90.00 90.00 120.00
Closest atoms and distances in Å follow each position.
Element x y z (fractional)
P  0.6667  0.3333  0.6927  1 O 1.49
P  0.3333  0.6667  0.4697  3 P 2.27
O  0.6667  0.3333  0.9768  1 P 1.49

As for the total DFT energy (no corrections): -5.9059 eV/atom. Its distance to the lowest polymorph of the same formula is 0.0 kJ per mole of atoms. The total moment is 0.00 Bohr magnetons per cell. The uncorrected formation energy is -62 kJ/mol of atoms.

***

No. 4
A geometry-optimized Sm4OsRh structure. Source: the Alexandria database, functional PBE.

a b c (Å): 6.3762 7.6737 8.0547
angles (deg): 114.11 108.31 99.86
Closest atoms and distances in Å follow each position.
Element x y z (fractional)
Sm  0.0042  0.2375  0.8687  2 Rh 2.90-3.20, 2 Os 2.91-2.94
Sm  0.7943  0.6956  0.6509  2 Os 2.95-3.02, 2 Rh 2.99-3.12
Sm  0.3645  0.6312  0.8687  2 Rh 2.90-3.20, 2 Os 2.91-2.94
Sm  0.3566  0.9553  0.6509  2 Os 2.95-3.02, 2 Rh 2.99-3.12
Sm  0.6434  0.0447  0.3491  2 Os 2.95-3.02, 2 Rh 2.99-3.12
Sm  0.6355  0.3688  0.1313  2 Rh 2.90-3.20, 2 Os 2.91-2.94
Sm  0.2057  0.3044  0.3491  2 Os 2.95-3.02, 2 Rh 2.99-3.12
Sm  0.9958  0.7625  0.1313  2 Rh 2.90-3.20, 2 Os 2.91-2.94
Os  0.2519  0.0019  0.0038  8 Sm 2.91-3.02, 2 Os 3.19
Os  0.7481  0.9981  0.9962  8 Sm 2.91-3.02, 2 Os 3.19
Rh  0.3868  0.6368  0.2736  8 Sm 2.90-3.20
Rh  0.6132  0.3632  0.7264  8 Sm 2.90-3.20

As for the total DFT energy (no corrections): -6.6052 eV/atom. Its distance to the lowest polymorph of the same formula is 0.0 kJ per mole of atoms. As for the density of states at the Fermi level: 10.68 states/eV/cell. The total moment is 0.00 Bohr magnetons per cell. For the energy of formation from the pure elements, the calculation gives -2.174 eV per formula unit.

***

No. 5
A geometry-optimized ErGa8Co4 structure. Source: the Alexandria database, functional PBE.

a b c (Å): 5.1783 6.5388 6.5388
angles (deg): 80.98 66.67 66.67
Closest atoms and distances in Å follow each position.
Element x y z (fractional)
Er  0.0000  0.0000  0.0000  12 Ga 2.88-3.21
Ga  0.0000  0.3389  0.6611  4 Co 2.60, 5 Ga 2.71-2.77, 1 Er 2.88
Ga  0.0000  0.6611  0.3389  4 Co 2.60, 5 Ga 2.71-2.77, 1 Er 2.88
Ga  0.3389  0.6611  0.6611  4 Co 2.60, 5 Ga 2.71-2.77, 1 Er 2.88
Ga  0.6611  0.3389  0.3389  4 Co 2.60, 5 Ga 2.71-2.77, 1 Er 2.88
Ga  0.5000  0.7761  0.2239  4 Co 2.50, 6 Ga 2.69-2.77
Ga  0.5000  0.2239  0.7761  4 Co 2.50, 6 Ga 2.69-2.77
Ga  0.2761  0.2239  0.2239  4 Co 2.50, 6 Ga 2.69-2.77
Ga  0.7239  0.7761  0.7761  4 Co 2.50, 6 Ga 2.69-2.77
Co  0.0000  0.0000  0.5000  8 Ga 2.50-2.60, 2 Co 2.59
Co  0.5000  0.0000  0.5000  8 Ga 2.50-2.60, 2 Co 2.59
Co  0.0000  0.5000  0.0000  8 Ga 2.50-2.60, 2 Co 2.59
Co  0.5000  0.5000  0.0000  8 Ga 2.50-2.60, 2 Co 2.59

As for the total DFT energy (no corrections): -4.7514 eV/atom. As for the density of states at the Fermi level: 9.56 states/eV/cell. The total moment is 0.00 Bohr magnetons per cell. For the energy of formation from the pure elements, the calculation gives -4.566 eV per formula unit.

***

No. 6
A geometry-optimized YCo2Cu2 structure. Source: the Alexandria database, functional PBE.

a b c (Å): 3.8940 3.8940 5.7800
angles (deg): 70.31 70.31 90.00
Closest atoms and distances in Å follow each position.
Element x y z (fractional)
Y  0.0000  0.0000  0.0000  8 Co 2.96, 8 Cu 3.20
Co  0.3942  0.3942  0.2115  1 Co 2.15
Co  0.6058  0.6058  0.7885  1 Co 2.15
Cu  0.7500  0.2500  0.5000  4 Co 2.44
Cu  0.2500  0.7500  0.5000  4 Co 2.44

As for the total DFT energy (no corrections): -5.7665 eV/atom. Its distance to the lowest polymorph of the same formula is 0.0 kJ per mole of atoms. As for the density of states at the Fermi level: 5.27 states/eV/cell. The total moment is 2.40 Bohr magnetons per cell. For the energy of formation from the pure elements, the calculation gives 0.036 eV per formula unit.

***

No. 7
A geometry-optimized NbCrGe structure. Source: the Alexandria database, functional PBE.

a b c (Å): 5.1803 5.1803 7.8041
angles (deg): 90.00 90.00 121.80
Closest atoms and distances in Å follow each position.
Element x y z (fractional)
Nb  0.3349  0.6651  0.8192  4 Nb 2.82-3.13, 5 Ge 2.88-2.90, 7 Cr 2.93-3.01
Nb  0.6636  0.3364  0.6951  7 Ge 2.78-3.03, 4 Cr 2.80-2.93, 3 Nb 3.05-3.11
Nb  0.6636  0.3364  0.3049  7 Ge 2.78-3.03, 4 Cr 2.80-2.93, 3 Nb 3.05-3.11
Nb  0.3349  0.6651  0.1808  4 Nb 2.82-3.13, 5 Ge 2.88-2.90, 7 Cr 2.93-3.01
Cr  0.0065  0.9935  0.7558  2 Cr 2.37, 4 Ge 2.49-2.53
Cr  0.0065  0.9935  0.2442  2 Cr 2.37, 4 Ge 2.49-2.53
Cr  0.3275  0.1650  0.0000  4 Cr 2.37-2.56, 2 Ge 2.54-2.65
Cr  0.8350  0.6725  0.0000  4 Cr 2.37-2.56, 2 Ge 2.54-2.65
Ge  0.8231  0.1769  0.0000  6 Cr 2.53-2.65, 2 Nb 2.78
Ge  0.6623  0.8295  0.5000  4 Ge 2.48-2.64, 2 Cr 2.51
Ge  0.1705  0.3377  0.5000  4 Ge 2.48-2.64, 2 Cr 2.51
Ge  0.1711  0.8289  0.5000  2 Cr 2.49, 4 Ge 2.54-2.64

As for the total DFT energy (no corrections): -8.2323 eV/atom. As for the density of states at the Fermi level: 8.43 states/eV/cell. The total moment is 0.00 Bohr magnetons per cell. For the energy of formation from the pure elements, the calculation gives -0.386 eV per formula unit.

***

No. 8
A geometry-optimized ZrRu2Rh structure. Source: the Alexandria database, functional PBE.

a b c (Å): 4.4766 2.9226 4.7891
angles (deg): 89.99 90.00 90.00
Closest atoms and distances in Å follow each position.
Element x y z (fractional)
Rh  0.5000  0.8750  0.6991  6 Ru 2.74-2.87, 4 Zr 2.76, 2 Rh 2.92
Ru  0.0000  0.8751  0.0611  6 Ru 2.74-2.92, 4 Zr 2.78-2.83, 2 Rh 2.83
Ru  0.5000  0.3747  0.1838  6 Ru 2.74-2.92, 4 Rh 2.74-2.87, 2 Zr 2.86
Zr  0.0000  0.3752  0.5559  4 Rh 2.76, 6 Ru 2.78-2.86, 2 Zr 2.92

As for the total DFT energy (no corrections): -8.8377 eV/atom. As for the density of states at the Fermi level: 4.16 states/eV/cell. The total moment is 0.00 Bohr magnetons per cell. For the energy of formation from the pure elements, the calculation gives -0.899 eV per formula unit.

***

No. 9
A geometry-optimized RbCaLaBr6 structure. Source: the Alexandria database, functional PBE.

a b c (Å): 7.6946 7.6946 14.8575
angles (deg): 90.00 90.00 120.00
Closest atoms and distances in Å follow each position.
Element x y z (fractional)
Rb  0.0000  0.0000  0.0000  6 Br 3.53
Rb  0.0000  0.0000  0.5000  6 Br 3.53
Ca  0.3333  0.6667  0.2500  6 Br 2.93
Ca  0.6667  0.3333  0.7500  6 Br 2.93
La  0.6667  0.3333  0.2500  6 Br 2.96
La  0.3333  0.6667  0.7500  6 Br 2.96
Br  0.6253  0.6287  0.1380  1 Ca 2.93, 1 La 2.96
Br  0.0035  0.3747  0.1380  1 Ca 2.93, 1 La 2.96
Br  0.3747  0.0035  0.6380  1 Ca 2.93, 1 La 2.96
Br  0.9965  0.6253  0.8620  1 Ca 2.93, 1 La 2.96
Br  0.3713  0.3747  0.3620  1 Ca 2.93, 1 La 2.96
Br  0.0035  0.6287  0.3620  1 Ca 2.93, 1 La 2.96
Br  0.6287  0.0035  0.8620  1 Ca 2.93, 1 La 2.96
Br  0.6253  0.9965  0.3620  1 Ca 2.93, 1 La 2.96
Br  0.9965  0.3713  0.6380  1 Ca 2.93, 1 La 2.96
Br  0.3713  0.9965  0.1380  1 Ca 2.93, 1 La 2.96
Br  0.6287  0.6253  0.6380  1 Ca 2.93, 1 La 2.96
Br  0.3747  0.3713  0.8620  1 Ca 2.93, 1 La 2.96

As for the total DFT energy (no corrections): -3.9699 eV/atom. As for the density of states at the Fermi level: 0.00 states/eV/cell. The total moment is 0.00 Bohr magnetons per cell. The uncorrected formation energy is -191 kJ/mol of atoms.

***

No. 10
A geometry-optimized KScSb structure. Source: the Alexandria database, functional PBE.

a b c (Å): 7.2761 7.2761 4.0287
angles (deg): 73.93 73.93 32.14
Closest atoms and distances in Å follow each position.
Element x y z (fractional)
K  0.0048  0.0048  0.9952  1 Sc 3.55, 1 Sb 3.74
Sb  0.7252  0.7252  0.2748  4 Sc 2.91
Sc  0.2700  0.2700  0.7300  4 Sb 2.91

As for the total DFT energy (no corrections): -4.2127 eV/atom. As for the density of states at the Fermi level: 2.13 states/eV/cell. The total moment is 0.71 Bohr magnetons per cell. The uncorrected formation energy is -35 kJ/mol of atoms.

***

No. 11
A geometry-optimized SrCdPb structure. Source: the Alexandria database, functional PBE.

a b c (Å): 5.2106 5.7755 7.0958
angles (deg): 99.76 90.11 63.36
Closest atoms and distances in Å follow each position.
Element x y z (fractional)
Pb  0.2956  0.2189  0.5876  6 Sr 3.50-3.53, 2 Pb 3.55, 4 Cd 3.67-3.69
Pb  0.2956  0.2189  0.0876  6 Cd 3.43-3.49, 2 Pb 3.55, 4 Sr 3.58-3.59
Sr  0.9548  0.9002  0.7810  5 Cd 3.32-3.66, 5 Pb 3.50-3.59
Sr  0.6363  0.5375  0.3941  5 Cd 3.32-3.66, 5 Pb 3.50-3.59
Cd  0.6279  0.5528  0.9113  5 Sr 3.32-3.66, 5 Pb 3.43-3.69
Cd  0.9629  0.8849  0.2637  5 Sr 3.32-3.66, 5 Pb 3.43-3.69

As for the total DFT energy (no corrections): -2.4440 eV/atom. As for the density of states at the Fermi level: 2.80 states/eV/cell. The total moment is 0.00 Bohr magnetons per cell. For the energy of formation from the pure elements, the calculation gives -1.027 eV per formula unit.

***

No. 12
A geometry-optimized CaSc2Mn structure. Source: the Alexandria database, functional PBE.

a b c (Å): 6.2263 6.2263 5.5695
angles (deg): 61.07 61.07 31.34
Closest atoms and distances in Å follow each position.
Element x y z (fractional)
Sc  0.9607  0.9607  0.0952  2 Mn 2.77
Sc  0.7400  0.7400  0.7455  2 Mn 2.90, 1 Sc 3.24
Ca  0.5314  0.5314  0.5219  3 Mn 3.06-3.29, 5 Sc 3.31-3.35, 2 Ca 3.36
Mn  0.2679  0.2679  0.1374  4 Sc 2.77-2.90, 2 Ca 3.06

As for the total DFT energy (no corrections): -5.6480 eV/atom. Its distance to the lowest polymorph of the same formula is 19.0 kJ per mole of atoms. As for the density of states at the Fermi level: 5.20 states/eV/cell. The total moment is 2.23 Bohr magnetons per cell. For the energy of formation from the pure elements, the calculation gives 1.242 eV per formula unit.

***

What is the total DFT energy (no corrections) in the eighth record? -8.8377 eV/atom